Entry 1:
VASP calculation (PBE-GGA) on an optimized crystal structure of PuZn3Ga2.

a = 8.016 Å, b = 8.016 Å, c = 8.016 Å
α = 148.09°, β = 123.96°, γ = 65.95°
Fractional coordinates of all 12 atoms:
Pu 0.132 0.132 0.000
Pu 0.868 0.868 0.000
Zn 0.125 0.326 0.799
Zn 0.338 0.000 0.338
Zn 0.473 0.674 0.799
Zn 0.527 0.326 0.201
Zn 0.662 0.000 0.662
Zn 0.875 0.674 0.201
Ga 0.167 0.500 0.667
Ga 0.310 0.810 0.500
Ga 0.690 0.190 0.500
Ga 0.833 0.500 0.333

- Polymorph energy (0 for the lowest one): 13 meV per atom
- DOS at the Fermi energy: 1.490 states/eV per atom
- Total energy: -4.21 eV/atom
- Calculated volume: 18.6 Å³ per atom
- Calculated density: 8.6 g/cm³
- SG: Immm
- ΔH_f (0 K): -0.18 eV/atom

Entry 2:
VASP calculation (PBE-GGA) on an optimized crystal structure of GePPd3.

a = 4.613 Å, b = 4.613 Å, c = 4.613 Å
α = 90.00°, β = 90.00°, γ = 90.00°
Fractional coordinates of all 5 atoms:
Ge 0.000 0.000 0.000
P 0.500 0.500 0.500
Pd 0.000 0.000 0.500
Pd 0.000 0.500 0.000
Pd 0.500 0.000 0.000

- Polymorph energy (0 for the lowest one): 786 meV per atom
- DOS at the Fermi energy: 0.397 states/eV per atom
- Total energy: -4.67 eV/atom
- Calculated volume: 19.6 Å³ per atom
- Calculated density: 7.2 g/cm³
- SG: Pm-3m
- ΔH_f (0 K): 0.45 eV/atom

Entry 3:
VASP calculation (PBE-GGA) on an optimized crystal structure of CaZn4Sn.

a = 5.529 Å, b = 5.529 Å, c = 5.529 Å
α = 60.00°, β = 60.00°, γ = 60.00°
Fractional coordinates of all 6 atoms:
Ca 0.000 0.000 0.000
Zn 0.125 0.625 0.625
Zn 0.625 0.125 0.625
Zn 0.625 0.625 0.125
Zn 0.625 0.625 0.625
Sn 0.250 0.250 0.250

- DOS at the Fermi energy: 0.299 states/eV per atom
- Total energy: -2.01 eV/atom
- Calculated volume: 19.9 Å³ per atom
- Calculated density: 5.8 g/cm³
- SG: F-43m
- ΔH_f (0 K): -0.16 eV/atom